Model one:
Density functional theory data (PBE-GGA) for ScCu2Pd5 after structural relaxation.

Results
- Density of states at the Fermi level: 3.211 states/eV/f.u.
- Density: 9.50 Mg/m³
- Total moment: 0.0 μB per cell

```
data_ScCu2Pd5
_cell_length_a 6.700
_cell_length_b 6.700
_cell_length_c 10.963
_cell_angle_alpha 90.00
_cell_angle_beta 90.00
_cell_angle_gamma 90.00
_space_group_name_H-M_alt 'I 4/m c m'
_space_group_IT_number 140
_space_group_name_Hall '-I 4 2c'
loop_
_atom_site_label
_atom_site_type_symbol
_atom_site_fract_x
_atom_site_fract_y
_atom_site_fract_z
_atom_site_occupancy
Sc1 Sc 0.000 0.000 0.250 1
Cu1 Cu 0.142 0.358 0.000 1
Pd1 Pd 0.000 0.000 0.000 1
Pd2 Pd 0.150 0.350 0.344 1
```



Model two:
Density functional theory data (PBE-GGA) for ScCu2Pd5 after structural relaxation.

Results
- Density of states at the Fermi level: 3.357 states/eV/f.u.
- Density: 9.68 Mg/m³
- Total moment: 0.0 μB per cell

```
data_ScCu2Pd5
_cell_length_a 5.498
_cell_length_b 10.908
_cell_length_c 4.026
_cell_angle_alpha 90.00
_cell_angle_beta 90.00
_cell_angle_gamma 90.00
_space_group_name_H-M_alt 'P b a m'
_space_group_IT_number 55
loop_
_space_group_symop_operation_xyz
'x,y,z'
'-x,-y,-z'
'-x,-y,z'
'x,y,-z'
'x+1/2,-y+1/2,-z'
'-x+1/2,y+1/2,z'
'-x+1/2,y+1/2,-z'
'x+1/2,-y+1/2,z'
loop_
_atom_site_label
_atom_site_type_symbol
_atom_site_fract_x
_atom_site_fract_y
_atom_site_fract_z
_atom_site_occupancy
Sc1 Sc 0.000 0.000 0.000 1
Cu1 Cu 0.215 0.368 0.500 1
Pd1 Pd 0.000 0.500 0.000 1
Pd2 Pd 0.039 0.755 0.000 1
Pd3 Pd 0.224 0.119 0.500 1
```



Stability check: which of them is least stable? model one.